Tb12Tm7Bi | PBE-GGA | relaxed

Unit cell a=8.864 b=8.864 c=8.864 alpha=76.01 beta=76.01 gamma=76.01
Fractional coordinates of all 20 atoms:
Tb 0.766 0.149 0.766
Tb 0.851 0.234 0.234
Tb 0.521 0.161 0.521
Tb 0.839 0.479 0.479
Tb 0.234 0.234 0.851
Tb 0.479 0.479 0.839
Tb 0.521 0.521 0.161
Tb 0.766 0.766 0.149
Tb 0.161 0.521 0.521
Tb 0.479 0.839 0.479
Tb 0.149 0.766 0.766
Tb 0.234 0.851 0.234
Tm 0.859 0.513 0.859
Tm 0.487 0.141 0.141
Tm 0.141 0.141 0.487
Tm 0.500 0.500 0.500
Tm 0.859 0.859 0.513
Tm 0.513 0.859 0.859
Tm 0.141 0.487 0.141
Bi 0.000 0.000 0.000

Output
DFT formation energy   0.12 eV per atom
Crystal system   trigonal

***

TbTmBi2 | PBE-GGA | relaxed

Unit cell a=4.461 b=4.461 c=7.723 alpha=73.15 beta=73.15 gamma=60.08
Fractional coordinates of all 4 atoms:
Tb 0.500 0.500 0.500
Tm 0.000 0.000 0.000
Bi 0.749 0.749 0.754
Bi 0.251 0.251 0.246

Output
Energy above the most stable polymorph in this dataset   0.004 eV per formula unit
DFT formation energy   -0.83 eV per atom
Crystal system   monoclinic

***

Tb4TmBi2 | PBE-GGA | relaxed

Unit cell a=5.320 b=5.320 c=9.188 alpha=106.83 beta=106.83 gamma=90.00
Fractional coordinates of all 7 atoms:
Tb 0.819 0.819 0.638
Tb 0.181 0.181 0.362
Tb 0.000 0.500 0.000
Tb 0.500 0.000 0.000
Tm 0.000 0.000 0.000
Bi 0.635 0.635 0.270
Bi 0.365 0.365 0.730

Output
DFT formation energy   0.26 eV per atom
Crystal system   tetragonal

***

TbTm4Bi5 | PBE-GGA | relaxed

Unit cell a=4.442 b=6.280 c=11.755 alpha=105.49 beta=100.89 gamma=90.00
Fractional coordinates of all 10 atoms:
Tb 0.000 0.000 0.000
Tm 0.400 0.400 0.800
Tm 0.799 0.799 0.598
Tm 0.201 0.201 0.402
Tm 0.600 0.600 0.200
Bi 0.602 0.102 0.203
Bi 0.800 0.300 0.601
Bi 0.200 0.700 0.399
Bi 0.000 0.500 0.000
Bi 0.398 0.898 0.797

Output
DFT formation energy   -0.80 eV per atom
Crystal system   orthorhombic

***

Tb5Tm3Bi8 | PBE-GGA | relaxed

Unit cell a=8.938 b=8.938 c=8.937 alpha=60.00 beta=60.00 gamma=60.00
Fractional coordinates of all 16 atoms:
Tb 0.500 0.000 0.000
Tb 0.500 0.500 0.000
Tb 0.000 0.000 0.000
Tb 0.000 0.500 0.000
Tb 0.500 0.500 0.500
Tm 0.500 0.000 0.500
Tm 0.000 0.000 0.500
Tm 0.000 0.500 0.500
Bi 0.250 0.250 0.747
Bi 0.250 0.753 0.747
Bi 0.753 0.250 0.747
Bi 0.751 0.751 0.746
Bi 0.750 0.750 0.253
Bi 0.750 0.247 0.253
Bi 0.247 0.750 0.253
Bi 0.249 0.249 0.254

Output
DFT formation energy   -0.84 eV per atom
Crystal system   trigonal

***

TbTm2Bi2 | PBE-GGA | relaxed

Unit cell a=4.907 b=6.632 c=9.390 alpha=90.00 beta=105.14 gamma=90.00
Fractional coordinates of all 10 atoms:
Tb 0.618 0.959 0.235
Tb 0.382 0.459 0.765
Tm 0.014 0.222 0.027
Tm 0.180 0.588 0.360
Tm 0.820 0.088 0.640
Tm 0.986 0.722 0.973
Bi 0.567 0.485 0.135
Bi 0.211 0.112 0.422
Bi 0.789 0.612 0.578
Bi 0.433 0.985 0.865

Output
DFT formation energy   -0.58 eV per atom
Crystal system   orthorhombic

***

Tb3TmBi2 | PBE-GGA | relaxed

Unit cell a=4.308 b=10.751 c=10.087 alpha=125.98 beta=90.00 gamma=101.56
Fractional coordinates of all 12 atoms:
Tb 0.312 0.625 0.516
Tb 0.945 0.891 0.560
Tb 0.642 0.284 0.805
Tb 0.358 0.716 0.195
Tb 0.055 0.109 0.440
Tb 0.688 0.375 0.484
Tm 0.891 0.781 0.883
Tm 0.109 0.219 0.117
Bi 0.495 0.989 0.830
Bi 0.505 0.011 0.170
Bi 0.747 0.493 0.214
Bi 0.253 0.507 0.786

Output
Energy above the most stable polymorph in this dataset   0.835 eV per formula unit
DFT formation energy   -0.46 eV per atom
Crystal system   monoclinic

***

Tb5Tm2Bi5 | PBE-GGA | relaxed

Unit cell a=4.440 b=7.654 c=12.745 alpha=111.56 beta=90.00 gamma=106.86
Fractional coordinates of all 12 atoms:
Tb 0.500 0.000 0.500
Tb 0.663 0.326 0.030
Tb 0.711 0.423 0.335
Tb 0.289 0.577 0.665
Tb 0.337 0.674 0.970
Tm 0.052 0.104 0.791
Tm 0.948 0.896 0.209
Bi 0.118 0.236 0.433
Bi 0.695 0.390 0.781
Bi 0.305 0.610 0.219
Bi 0.882 0.764 0.567
Bi 0.000 0.000 0.000

Output
DFT formation energy   -0.59 eV per atom
Crystal system   monoclinic